[1]
Entry from Alexandria via LeMat-Bulk: an optimized crystal structure of Pr2CuRh3O8 (PBE).

Cell: 6.507 6.507 6.543 Å, 60.18 60.18 60.00°
Atoms (fractional coordinates):
O  0.246  0.246  0.810
O  0.273  0.758  0.210
O  0.697  0.246  0.810
O  0.246  0.697  0.810
O  0.758  0.273  0.210
O  0.267  0.267  0.200
O  0.721  0.721  0.838
O  0.758  0.758  0.210
Pr  0.118  0.118  0.646
Pr  0.504  0.504  0.488
Rh  0.497  0.991  0.016
Rh  0.991  0.497  0.016
Rh  0.497  0.497  0.016
Cu  0.920  0.920  0.239

Summary:
space-group type = R3m (160)
ΔE_f (raw) = -1.49 eV per atom
electronic total energy = -6.873 eV/atom

[2]
Entry from Alexandria via LeMat-Bulk: an optimized crystal structure of Pr2Cu2RhO6 (PBE).

Cell: 5.810 5.810 6.090 Å, 61.51 61.51 60.00°
Atoms (fractional coordinates):
O  0.796  0.239  0.726
O  0.761  0.761  0.274
O  0.239  0.239  0.726
O  0.204  0.761  0.274
O  0.761  0.204  0.274
O  0.239  0.796  0.726
Cu  0.414  0.414  0.758
Cu  0.586  0.586  0.242
Pr  0.787  0.787  0.640
Pr  0.213  0.213  0.360
Rh  0.000  0.000  0.000

Summary:
space-group type = R-3m (166)
ΔE_f (raw) = -1.58 eV per atom
electronic total energy = -6.563 eV/atom

[3]
Entry from Alexandria via LeMat-Bulk: an optimized crystal structure of Pr2CuS2O (PBE).

Cell: 3.847 3.847 13.867 Å, 90.00 90.00 90.00°
Atoms (fractional coordinates):
O  0.500  0.500  0.500
Cu  0.500  0.500  0.000
S  0.500  0.500  0.149
S  0.500  0.500  0.851
Pr  0.500  0.500  0.656
Pr  0.500  0.500  0.344

Summary:
space-group type = P4/mmm (123)
ΔE_f (raw) = -0.48 eV per atom
electronic total energy = -4.956 eV/atom